# 1
Compound: Ca2Ga4SnAu3
Source: Alexandria via LeMat-Bulk
Functional: PBE
Structure: optimized geometry

Computed properties:
* formation energy from the elements: -0.505 eV per atom
* spin magnetization: 0.0000 μB/atom
* volume: 21.654 Å³ per atom
* symmetry: P-4m2 (115)

abc: 4.369 4.369 11.345
angles: 90.00 90.00 90.00
Fractional coordinates of all 10 atoms:
Ca: 0.500 0.000 0.241
Ca: 0.000 0.500 0.759
Ga: 0.500 0.500 0.000
Ga: 0.000 0.000 0.000
Ga: 0.500 0.000 0.649
Ga: 0.000 0.500 0.351
Sn: 0.500 0.500 0.500
Au: 0.000 0.000 0.500
Au: 0.500 0.000 0.870
Au: 0.000 0.500 0.130

***

# 2
Compound: CaGa2Sn2Au7
Source: Alexandria via LeMat-Bulk
Functional: PBE
Structure: optimized geometry

Computed properties:
* formation energy from the elements: -0.254 eV per atom
* spin magnetization: 0.0000 μB/atom
* volume: 20.759 Å³ per atom
* symmetry: C2/m (12)

abc: 4.715 4.715 13.289
angles: 66.68 66.68 82.02
Fractional coordinates of all 12 atoms:
Ca: 0.000 0.000 0.000
Ga: 0.794 0.794 0.710
Ga: 0.206 0.206 0.290
Sn: 0.656 0.656 0.345
Sn: 0.344 0.344 0.655
Au: 0.500 0.500 0.000
Au: 0.197 0.197 0.497
Au: 0.803 0.803 0.503
Au: 0.825 0.329 0.172
Au: 0.329 0.825 0.172
Au: 0.671 0.175 0.828
Au: 0.175 0.671 0.828

***

# 3
Compound: Ca3Ga2SnAu9
Source: Alexandria via LeMat-Bulk
Functional: PBE
Structure: optimized geometry

Computed properties:
* formation energy from the elements: -0.325 eV per atom
* spin magnetization: 0.0000 μB/atom
* volume: 24.774 Å³ per atom
* symmetry: P-3m1 (164)

abc: 8.058 8.058 6.609
angles: 90.00 90.00 120.00
Fractional coordinates of all 15 atoms:
Ca: 0.333 0.667 0.657
Ca: 0.000 0.000 0.000
Ca: 0.667 0.333 0.343
Ga: 0.333 0.667 0.146
Ga: 0.667 0.333 0.854
Sn: 0.000 0.000 0.500
Au: 0.828 0.172 0.685
Au: 0.828 0.657 0.685
Au: 0.343 0.172 0.685
Au: 0.657 0.828 0.315
Au: 0.172 0.343 0.315
Au: 0.172 0.828 0.315
Au: 0.500 0.000 0.000
Au: 0.000 0.500 0.000
Au: 0.500 0.500 0.000

***

# 4
Compound: SrCaGaAu
Source: Alexandria via LeMat-Bulk
Functional: PBE
Structure: optimized geometry

Computed properties:
* formation energy from the elements: -0.574 eV per atom
* spin magnetization: 0.0000 μB/atom
* volume: 28.825 Å³ per atom
* symmetry: Amm2 (38)

abc: 4.412 4.531 6.175
angles: 90.00 110.93 90.00
Fractional coordinates of all 4 atoms:
Sr: 0.147 0.000 0.294
Ca: 0.860 0.500 0.720
Ga: 0.433 0.000 0.867
Au: 0.560 0.500 0.119